[1]
The following is a DFT calculation (GGA-PBE) of a relaxed Ac2LaNd4Ho crystal.

abc: 6.500 3.772 12.388
angles: 90.00 100.44 90.00
Space group P2/m (No. 10)
Unique sites:
Ac1 0.000 0.000 0.000 (multiplicity 1)
Ac2 0.500 0.500 0.000 (multiplicity 1)
La1 0.000 0.500 0.500 (multiplicity 1)
Nd1 0.249 0.000 0.744 (multiplicity 2)
Nd2 0.254 0.500 0.258 (multiplicity 2)
Ho1 0.500 0.000 0.500 (multiplicity 1)

[2]
The following is a DFT calculation (GGA-PBE) of a relaxed AcLaNdHo crystal.

abc: 8.430 8.430 8.430
angles: 90.00 90.00 90.00
Space group F-43m (No. 216)
Unique sites:
Ac1 0.000 0.000 0.000 (multiplicity 4)
La1 0.250 0.250 0.750 (multiplicity 4)
Nd1 0.250 0.250 0.250 (multiplicity 4)
Ho1 0.000 0.000 0.500 (multiplicity 4)

[3]
The following is a DFT calculation (GGA-PBE) of a relaxed AcLa2Nd2Ho crystal.

abc: 7.340 5.865 10.186
angles: 90.00 90.00 90.00
Space group Pmma (No. 51)
Unique sites:
Ac1 0.000 0.000 0.000 (multiplicity 2)
La1 0.000 0.500 0.500 (multiplicity 2)
La2 0.250 0.000 0.334 (multiplicity 2)
Nd1 0.250 0.000 0.664 (multiplicity 2)
Nd2 0.250 0.500 0.170 (multiplicity 2)
Ho1 0.250 0.500 0.833 (multiplicity 2)

[4]
The following is a DFT calculation (GGA-PBE) of a relaxed AcLa4NdHo2 crystal.

abc: 11.711 5.256 10.557
angles: 90.00 116.92 90.00
Space group C2/m (No. 12)
Unique sites:
Ac1 0.000 0.000 0.000 (multiplicity 2)
La1 0.247 0.000 0.871 (multiplicity 4)
La2 0.249 0.500 0.623 (multiplicity 4)
Nd1 0.000 0.000 0.500 (multiplicity 2)
Ho1 0.001 0.500 0.745 (multiplicity 4)

[5]
The following is a DFT calculation (GGA-PBE) of a relaxed AcLaNdHo2 crystal.

abc: 6.503 17.658 6.615
angles: 90.00 90.00 90.00
Space group Cmcm (No. 63)
Unique sites:
Ac1 0.000 0.156 0.250 (multiplicity 4)
La1 0.000 0.347 0.250 (multiplicity 4)
Nd1 0.000 0.218 0.750 (multiplicity 4)
Ho1 0.247 0.000 0.000 (multiplicity 8)

[6]
The following is a DFT calculation (GGA-PBE) of a relaxed Ac2La2NdHo crystal.

abc: 6.757 7.290 9.389
angles: 90.00 94.16 90.00
Space group P2_1/m (No. 11)
Unique sites:
Ac1 0.178 0.001 0.174 (multiplicity 4)
La1 0.094 0.750 0.518 (multiplicity 2)
La2 0.407 0.250 0.501 (multiplicity 2)
Nd1 0.318 0.250 0.845 (multiplicity 2)
Ho1 0.342 0.750 0.854 (multiplicity 2)

[7]
The following is a DFT calculation (GGA-PBE) of a relaxed AcLaNd3Ho crystal.

abc: 20.892 5.928 7.154
angles: 90.00 91.26 90.00
Space group C2/m (No. 12)
Unique sites:
Ac1 0.148 0.000 0.030 (multiplicity 4)
La1 0.054 0.500 0.277 (multiplicity 4)
Nd1 0.017 0.000 0.743 (multiplicity 4)
Nd2 0.163 0.500 0.740 (multiplicity 4)
Nd3 0.218 0.500 0.269 (multiplicity 4)
Ho1 0.145 0.000 0.488 (multiplicity 4)

[8]
The following is a DFT calculation (GGA-PBE) of a relaxed AcLa2NdHo crystal.

abc: 8.207 12.289 7.645
angles: 90.00 90.00 90.00
Space group Cmcm (No. 63)
Unique sites:
Ac1 0.000 0.242 0.250 (multiplicity 4)
La1 0.203 0.500 0.000 (multiplicity 8)
Nd1 0.000 0.061 0.750 (multiplicity 4)
Ho1 0.000 0.307 0.750 (multiplicity 4)

no.,total DFT energy (no corrections) (eV per atom),energy of formation (eV per atom)
1,-4.560,0.039
2,-4.432,0.164
3,-4.629,0.050
4,-4.688,0.030
5,-4.241,0.350
6,-4.432,0.137
7,-4.480,0.172
8,-4.342,0.320